A geometry-optimized La2Ni4Ge3P structure. Source: Alexandria, functional PBE.

The structure in POSCAR format:
```
La2Ni4Ge3P
1.0
4.2146 0.0000 0.0000
0.0000 4.2146 0.0000
0.0000 0.0000 9.5695
La Ni Ge P
2 4 3 1
Direct
0.0000 0.5000 0.2459
0.5000 0.0000 0.7541
0.0000 0.0000 0.5000
0.0000 0.5000 0.8877
0.5000 0.0000 0.1123
0.5000 0.5000 0.5000
0.0000 0.0000 0.0000
0.0000 0.5000 0.6277
0.5000 0.0000 0.3723
0.5000 0.5000 0.0000
```

Output
Relative energy among the computed polymorphs ... 0.26 eV/f.u.
Crystal system ... tetragonal
SG ... P-4m2

***

A geometry-optimized La2NiGePb structure. Source: Alexandria, functional PBE.

The structure in POSCAR format:
```
La2NiGePb
1.0
5.4917 0.0000 0.0000
0.0000 5.4917 0.0000
0.0000 0.0000 4.5278
La Ni Ge Pb
2 1 1 1
Direct
0.0000 0.5000 0.0000
0.5000 0.0000 0.0000
0.0000 0.0000 0.0000
0.0000 0.0000 0.5000
0.5000 0.5000 0.5000
```

Output
Crystal system ... tetragonal
SG ... P4/mmm

***

A geometry-optimized La2Ni3Ge4Pd structure. Source: Alexandria, functional PBE.

The structure in POSCAR format:
```
La2Ni3Ge4Pd
1.0
4.2713 0.0000 0.0000
0.0000 4.2713 0.0000
0.0000 0.0000 9.8397
La Ni Ge Pd
2 3 4 1
Direct
0.0000 0.5000 0.2455
0.5000 0.0000 0.7545
0.0000 0.5000 0.8800
0.5000 0.0000 0.1200
0.5000 0.5000 0.5000
0.0000 0.0000 0.0000
0.0000 0.5000 0.6347
0.5000 0.0000 0.3653
0.5000 0.5000 0.0000
0.0000 0.0000 0.5000
```

Output
Crystal system ... tetragonal
SG ... P-4m2

***

A geometry-optimized La2Ni4Ge3Pd structure. Source: Alexandria, functional PBE.

The structure in POSCAR format:
```
La2Ni4Ge3Pd
1.0
4.1546 0.0000 0.0000
0.0000 4.1546 0.0000
0.0000 0.0000 10.1247
La Ni Ge Pd
2 4 3 1
Direct
0.0000 0.5000 0.2478
0.5000 0.0000 0.7522
0.0000 0.0000 0.5000
0.0000 0.5000 0.8569
0.5000 0.0000 0.1431
0.5000 0.5000 0.5000
0.0000 0.0000 0.0000
0.0000 0.5000 0.6198
0.5000 0.0000 0.3802
0.5000 0.5000 0.0000
```

Output
Crystal system ... tetragonal
SG ... P-4m2

***

no.,DFT formation energy (eV/atom)
1,-0.750
2,-0.488
3,-0.739
4,-0.635